Entry 1:
## Pr5AlSe4 (PBE)

Data for a relaxed structure of Pr5AlSe4.

Properties
Density, g/cm³: 6.165
Raw formation energy, eV per atom: -1.549
Volume, A^3/atom: 28.2
Magnetic moment, μB per formula unit: 0.0

Cell lengths 9.647, 9.647, 6.062 Å; angles 90.00, 90.00, 90.00 degrees
Space group I4/m (No. 87)
Inequivalent atoms, fractional coordinates:
Pr  0.000  0.000  0.000 (multiplicity 2)
Pr  0.098  0.700  0.500 (multiplicity 8)
Al  0.000  0.000  0.500 (multiplicity 2)
Se  0.101  0.700  0.000 (multiplicity 8)



Entry 2:
## Pr2AlSe (PBE)

Data for a relaxed structure of Pr2AlSe.

Properties
Density, g/cm³: 5.719
Raw formation energy, eV per atom: -1.123
ΔE to the lowest computed polymorph, meV/atom: 0
Volume, A^3/atom: 28.1
Magnetic moment, μB per formula unit: 0.0

Cell lengths 4.446, 23.863, 4.245 Å; angles 90.00, 90.00, 90.00 degrees
Space group Cmcm (No. 63)
Inequivalent atoms, fractional coordinates:
Pr  0.000  0.068  0.250 (multiplicity 4)
Pr  0.000  0.318  0.250 (multiplicity 4)
Al  0.000  0.464  0.250 (multiplicity 4)
Se  0.000  0.192  0.250 (multiplicity 4)



Entry 3:
## Pr2AlSe (PBE)

Data for a relaxed structure of Pr2AlSe.

Properties
Density, g/cm³: 5.468
Raw formation energy, eV per atom: -0.902
ΔE to the lowest computed polymorph, meV/atom: 221
Volume, A^3/atom: 29.4
Magnetic moment, μB per formula unit: 0.0

Cell lengths 4.0619, 4.0619, 24.7223 Å; angles 90.00, 90.00, 120.00 degrees
Space group R3m (No. 160, hexagonal axes)
Inequivalent atoms, fractional coordinates:
Pr  0.0000  0.0000  0.0000 (multiplicity 3)
Pr  0.0000  0.0000  0.1820 (multiplicity 3)
Al  0.0000  0.0000  0.7584 (multiplicity 3)
Se  0.0000  0.0000  0.5897 (multiplicity 3)



Entry 4:
## Pr4AlSe3 (PBE)

Data for a relaxed structure of Pr4AlSe3.

Properties
Density, g/cm³: 6.071
Raw formation energy, eV per atom: -1.482
Volume, A^3/atom: 28.3
Magnetic moment, μB per formula unit: 0.0

Cell lengths 6.089, 6.089, 12.210 Å; angles 90.00, 90.00, 90.00 degrees
Space group I4/mmm (No. 139)
Inequivalent atoms, fractional coordinates:
Pr  0.000  0.000  0.248 (multiplicity 4)
Pr  0.000  0.500  0.000 (multiplicity 4)
Al  0.000  0.000  0.500 (multiplicity 2)
Se  0.000  0.000  0.000 (multiplicity 2)
Se  0.000  0.500  0.250 (multiplicity 4)



Entry 5:
## Pr5Al2Se2 (PBE)

Data for a relaxed structure of Pr5Al2Se2.

Properties
Density, g/cm³: 6.013
Raw formation energy, eV per atom: -0.957
Volume, A^3/atom: 28.1
Magnetic moment, μB per formula unit: 0.0

Cell lengths 15.558, 8.057, 8.075 Å; angles 90.00, 90.00, 90.00 degrees
Space group Cmce (No. 64)
Inequivalent atoms, fractional coordinates:
Pr  0.000  0.000  0.000 (multiplicity 4)
Pr  0.143  0.172  0.337 (multiplicity 16)
Al  0.000  0.118  0.616 (multiplicity 8)
Se  0.196  0.000  0.000 (multiplicity 8)



Entry 6:
## Pr2AlSe (PBE)

Data for a relaxed structure of Pr2AlSe.

Properties
Density, g/cm³: 5.550
Raw formation energy, eV per atom: -1.016
ΔE to the lowest computed polymorph, meV/atom: 107
Volume, A^3/atom: 29.0
Magnetic moment, μB per formula unit: 0.0

Cell lengths 4.1503, 4.1503, 23.3319 Å; angles 90.00, 90.00, 120.00 degrees
Space group R-3m (No. 166, hexagonal axes)
Inequivalent atoms, fractional coordinates:
Pr  0.0000  0.0000  0.2458 (multiplicity 6)
Al  0.0000  0.0000  0.0000 (multiplicity 3)
Se  0.0000  0.0000  0.5000 (multiplicity 3)



Entry 7:
## Pr6Al3Se14 (PBE)

Data for a relaxed structure of Pr6Al3Se14.

Properties
Density, g/cm³: 5.587
Raw formation energy, eV per atom: -1.509
Volume, A^3/atom: 26.3
Magnetic moment, μB per formula unit: 0.0

Cell lengths 10.6226, 10.6226, 6.1795 Å; angles 90.00, 90.00, 120.00 degrees
Space group P3 (No. 143)
Inequivalent atoms, fractional coordinates:
Pr  0.0335  0.5618  0.0000 (multiplicity 3)
Pr  0.2980  0.1033  0.4964 (multiplicity 3)
Al  0.0000  0.0000  0.9118 (multiplicity 1)
Al  0.3333  0.6667  0.4094 (multiplicity 1)
Al  0.6667  0.3333  0.2699 (multiplicity 1)
Se  0.0000  0.0000  0.2941 (multiplicity 1)
Se  0.0873  0.8479  0.7655 (multiplicity 3)
Se  0.1833  0.4273  0.2627 (multiplicity 3)
Se  0.3333  0.6667  0.7925 (multiplicity 1)
Se  0.4288  0.1871  0.0384 (multiplicity 3)
Se  0.5159  0.4228  0.4991 (multiplicity 3)



Entry 8:
## Pr8AlSe6 (PBE)

Data for a relaxed structure of Pr8AlSe6.

Properties
Density, g/cm³: 6.093
Raw formation energy, eV per atom: -1.326
Volume, A^3/atom: 29.6
Magnetic moment, μB per formula unit: 0.0

Cell lengths 10.9696, 10.9696, 4.2575 Å; angles 90.00, 90.00, 120.00 degrees
Space group P-3 (No. 147)
Inequivalent atoms, fractional coordinates:
Pr  0.0352  0.7144  0.2504 (multiplicity 6)
Pr  0.3333  0.6667  0.7506 (multiplicity 2)
Al  0.0000  0.0000  0.5000 (multiplicity 1)
Se  0.1307  0.4834  0.2521 (multiplicity 6)



Entry 9:
## PrAlSe (PBE)

Data for a relaxed structure of PrAlSe.

Properties
Density, g/cm³: 5.235
Raw formation energy, eV per atom: -0.965
Volume, A^3/atom: 26.1
Magnetic moment, μB per formula unit: 0.0

Cell lengths 5.611, 5.630, 9.960 Å; angles 90.00, 95.48, 90.00 degrees
Space group C2/m (No. 12)
Inequivalent atoms, fractional coordinates:
Pr  0.214  0.000  0.288 (multiplicity 4)
Al  0.245  0.500  0.039 (multiplicity 4)
Se  0.230  0.500  0.382 (multiplicity 4)



Entry 10:
## Pr2AlSe5 (PBE)

Data for a relaxed structure of Pr2AlSe5.

Properties
Density, g/cm³: 5.321
Raw formation energy, eV per atom: -1.315
Volume, A^3/atom: 27.4
Magnetic moment, μB per formula unit: 0.0

Cell lengths 5.887, 6.139, 7.203 Å; angles 113.56, 97.97, 106.27 degrees
Space group P1 (No. 1)
Inequivalent atoms, fractional coordinates:
Pr  0.000  0.000  0.000 (multiplicity 1)
Pr  0.446  0.025  0.545 (multiplicity 1)
Al  0.853  0.580  0.301 (multiplicity 1)
Se  0.104  0.634  0.630 (multiplicity 1)
Se  0.170  0.590  0.110 (multiplicity 1)
Se  0.553  0.180  0.028 (multiplicity 1)
Se  0.586  0.600  0.611 (multiplicity 1)
Se  0.909  0.021  0.408 (multiplicity 1)



Entry 11:
## Pr4AlTe2Se (PBE)

Data for a relaxed structure of Pr4AlTe2Se.

Properties
Density, g/cm³: 6.162
Raw formation energy, eV per atom: -1.262
Volume, A^3/atom: 31.1
Magnetic moment, μB per formula unit: 0.0

Cell lengths 7.682, 4.372, 7.832 Å; angles 90.00, 108.65, 90.00 degrees
Space group P2/m (No. 10)
Inequivalent atoms, fractional coordinates:
Pr  0.245  0.000  0.228 (multiplicity 2)
Pr  0.255  0.500  0.765 (multiplicity 2)
Al  0.500  0.000  0.000 (multiplicity 1)
Te  0.000  0.000  0.500 (multiplicity 1)
Te  0.500  0.500  0.500 (multiplicity 1)
Se  0.000  0.500  0.000 (multiplicity 1)



Entry 12:
## Pr3AlTl4Se8 (PBE)

Data for a relaxed structure of Pr3AlTl4Se8.

Properties
Density, g/cm³: 6.514
Raw formation energy, eV per atom: -1.140
Volume, A^3/atom: 30.3
Magnetic moment, μB per formula unit: 0.0

Cell lengths 8.4919, 8.4919, 23.2544 Å; angles 90.00, 90.00, 120.00 degrees
Space group R-3m (No. 166, hexagonal axes)
Inequivalent atoms, fractional coordinates:
Pr  0.0000  0.5000  0.0000 (multiplicity 9)
Al  0.0000  0.0000  0.0000 (multiplicity 3)
Tl  0.0000  0.0000  0.5000 (multiplicity 3)
Tl  0.0000  0.5000  0.5000 (multiplicity 9)
Se  0.0000  0.0000  0.2613 (multiplicity 6)
Se  0.0312  0.5156  0.7330 (multiplicity 18)